# 1
First-principles (PBE) data for a geometry-optimized MgZnP2 structure, as listed in Alexandria via LeMat-Bulk.

The structure in POSCAR format:
```
MgZnP2
1.0
-2.4401 -2.2986 -0.3891
0.8199 -1.3734 2.9716
-3.9702 3.7370 2.8226
Mg P Zn
1 2 1
direct
0.5000 0.5000 0.7422 Mg
0.0000 0.0000 0.0912 P
0.5000 0.5000 0.1718 P
0.0000 0.0000 0.4948 Zn
```

Computed properties:
E above lowest polymorph	6.33	kcal/mol of atoms
symmetry	P4mm, No. 99

# 2
First-principles (PBE) data for a geometry-optimized MgAg2Ir structure, as listed in Alexandria via LeMat-Bulk.

The structure in POSCAR format:
```
MgAg2Ir
1.0
2.8702 0.0000 0.0000
0.0000 2.8702 0.0000
0.0000 0.0000 8.1634
Ag Mg Ir
2 1 1
direct
0.0000 0.0000 0.0026 Ag
0.0000 0.0000 0.4974 Ag
0.5000 0.5000 0.7500 Mg
0.5000 0.5000 0.2500 Ir
```

Computed properties:
symmetry	P4/mmm, No. 123

# 3
First-principles (PBE) data for a geometry-optimized CsMgHg4 structure, as listed in Alexandria via LeMat-Bulk.

The structure in POSCAR format:
```
CsMgHg4
1.0
6.4842 0.0000 0.0000
3.2421 5.6155 0.0000
3.2421 1.8718 5.2943
Hg Cs Mg
4 1 1
direct
0.6239 0.6239 0.1282 Hg
0.6239 0.1282 0.6239 Hg
0.1282 0.6239 0.6239 Hg
0.6239 0.6239 0.6239 Hg
0.0000 0.0000 0.0000 Cs
0.2500 0.2500 0.2500 Mg
```

Computed properties:
symmetry	F-43m, No. 216

Number 1: density 3.602 g cm⁻³, D(E_F) 0.6 states/eV/cell, energy -0.121 Ha/atom. Number 2: density 10.673 g cm⁻³, D(E_F) 2.4 states/eV/cell, energy -0.141 Ha/atom. Number 3: density 8.266 g cm⁻³, D(E_F) 3.1 states/eV/cell, energy -0.024 Ha/atom.